{
  "formula": "Li2CaSiRh",
  "functional": "PBE",
  "state": "optimized geometry",
  "lattice_angstrom": [[-2.235, 2.679, 3.118], [3.065, -1.279, 3.296], [2.669, 3.524, -1.115]],
  "species": ["Li", "Li", "Si", "Ca", "Rh"],
  "frac_coords": [[0.000, 0.500, 0.000], [0.500, 0.000, 0.000], [0.000, 0.000, 0.500], [0.500, 0.500, 0.500], [0.000, 0.000, 0.000]],
  "raw_formation_energy_ev_per_atom": -0.310,
  "m_tot_mub_per_fu": 0.0,
  "dos_at_fermi_per_ev_atom": 0.236,
  "final_energy_ev_per_fu": -20.16,
  "space_group": "No. 123"
}